# Ti2ZnSn2O7 GGA-PBEsol relaxed
data_Ti2ZnSn2O7
_symmetry_space_group_name_H-M 'C 1 2/c 1'
_symmetry_Int_Tables_number 15
_symmetry_space_group_name_Hall '-C 2yc'
_cell_length_a 8.8858
_cell_length_b 10.2540
_cell_length_c 9.0835
_cell_angle_alpha 90.00
_cell_angle_beta 112.61
_cell_angle_gamma 90.00
loop_
_atom_site_label
_atom_site_fract_x
_atom_site_fract_y
_atom_site_fract_z
Ti1 0.1139 0.2114 0.1266
Zn1 0.0000 0.2338 0.7500
Sn1 0.2211 0.4917 0.4822
O1 0.0000 0.1647 0.2500
O2 0.0526 0.1230 0.9375
O3 0.1150 0.3834 0.0950
O4 0.1809 0.3571 0.7874
# **Total magnetization**: 0.00 μB/f.u.
# **Energy relative to the elements, uncorrected**: -2.08 eV per atom
# **Total DFT energy (no corrections)**: -354.00 eV per cell

=====

# TcPbAuI2 GGA-PBEsol relaxed
data_TcPbAuI2
_symmetry_space_group_name_H-M 'P 4/m m m'
_symmetry_Int_Tables_number 123
_symmetry_space_group_name_Hall '-P 4 2'
_cell_length_a 5.4946
_cell_length_b 5.4946
_cell_length_c 5.1948
_cell_angle_alpha 90.00
_cell_angle_beta 90.00
_cell_angle_gamma 90.00
loop_
_atom_site_label
_atom_site_fract_x
_atom_site_fract_y
_atom_site_fract_z
Tc1 0.0000 0.0000 0.0000
Pb1 0.5000 0.5000 0.0000
Au1 0.0000 0.0000 0.5000
I1 0.0000 0.5000 0.5000
# **Total magnetization**: 3.40 μB/f.u.
# **Energy relative to the elements, uncorrected**: 1.06 eV per atom
# **Total DFT energy (no corrections)**: -17.44 eV per cell

=====

# LiCdOs2 GGA-PBEsol relaxed
data_LiCdOs2
_symmetry_space_group_name_H-M 'F -4 3 m'
_symmetry_Int_Tables_number 216
_symmetry_space_group_name_Hall 'F -4 2 3'
_cell_length_a 6.1324
_cell_length_b 6.1324
_cell_length_c 6.1324
_cell_angle_alpha 90.00
_cell_angle_beta 90.00
_cell_angle_gamma 90.00
loop_
_atom_site_label
_atom_site_fract_x
_atom_site_fract_y
_atom_site_fract_z
Li1 0.0000 0.0000 0.0000
Cd1 0.2500 0.2500 0.7500
Os1 0.0000 0.0000 0.5000
Os2 0.2500 0.2500 0.2500
# **Total magnetization**: 0.00 μB/f.u.
# **Total DFT energy (no corrections)**: -104.24 eV per cell
# **Formation enthalpy at 0 K**: 0.38 eV per atom

=====

# CrAg3F6 GGA-PBEsol relaxed
data_CrAg3F6
_symmetry_space_group_name_H-M 'F m -3 m'
_symmetry_Int_Tables_number 225
_symmetry_space_group_name_Hall '-F 4 2 3'
_cell_length_a 8.3171
_cell_length_b 8.3171
_cell_length_c 8.3171
_cell_angle_alpha 90.00
_cell_angle_beta 90.00
_cell_angle_gamma 90.00
loop_
_atom_site_label
_atom_site_fract_x
_atom_site_fract_y
_atom_site_fract_z
Cr1 0.0000 0.0000 0.0000
Ag1 0.0000 0.0000 0.5000
Ag2 0.2500 0.2500 0.2500
F1 0.0000 0.0000 0.2259
# **Total magnetization**: 2.88 μB/f.u.
# **Energy relative to the elements, uncorrected**: -1.47 eV per atom
# **Total DFT energy (no corrections)**: -185.81 eV per cell

=====

# BaHSeBr2 GGA-PBEsol relaxed
data_BaHSeBr2
_symmetry_space_group_name_H-M 'P 4/m m m'
_symmetry_Int_Tables_number 123
_symmetry_space_group_name_Hall '-P 4 2'
_cell_length_a 6.2303
_cell_length_b 6.2303
_cell_length_c 6.6914
_cell_angle_alpha 90.00
_cell_angle_beta 90.00
_cell_angle_gamma 90.00
loop_
_atom_site_label
_atom_site_fract_x
_atom_site_fract_y
_atom_site_fract_z
Ba1 0.0000 0.0000 0.0000
H1 0.5000 0.5000 0.5000
Se1 0.0000 0.0000 0.5000
Br1 0.0000 0.5000 0.0000
# **Total magnetization**: 3.00 μB/f.u.
# **Total DFT energy (no corrections)**: -13.67 eV per cell

=====

# ZrTcPt GGA-PBEsol relaxed
data_ZrTcPt
_symmetry_space_group_name_H-M 'P 3 m 1'
_symmetry_Int_Tables_number 156
_symmetry_space_group_name_Hall 'P 3 -2"'
_cell_length_a 2.8039
_cell_length_b 2.8039
_cell_length_c 7.1629
_cell_angle_alpha 90.00
_cell_angle_beta 90.00
_cell_angle_gamma 120.00
loop_
_atom_site_label
_atom_site_fract_x
_atom_site_fract_y
_atom_site_fract_z
Zr1 0.0000 0.0000 0.0000
Tc1 0.6667 0.3333 0.3518
Pt1 0.3333 0.6667 0.6602
# **ΔE to the lowest computed polymorph**: 0.000 eV/atom
# **Total magnetization**: 0.00 μB/f.u.
# **Total DFT energy (no corrections)**: -27.43 eV per cell
# **Formation enthalpy at 0 K**: -0.04 eV per atom

=====

# TbCu3Se3 GGA-PBEsol relaxed
data_TbCu3Se3
_symmetry_space_group_name_H-M 'R -3'
_symmetry_Int_Tables_number 148
_symmetry_space_group_name_Hall '-R 3'
_cell_length_a 6.8723
_cell_length_b 6.8723
_cell_length_c 19.4777
_cell_angle_alpha 90.00
_cell_angle_beta 90.00
_cell_angle_gamma 120.00
loop_
_atom_site_label
_atom_site_fract_x
_atom_site_fract_y
_atom_site_fract_z
Tb1 0.0000 0.0000 0.1664
Cu1 0.0046 0.6459 0.6247
Se1 0.0018 0.6843 0.4179
# **Total magnetization**: 0.00 μB/f.u.
# **Energy relative to the elements, uncorrected**: -0.74 eV per atom
# **Total DFT energy (no corrections)**: -208.56 eV per cell

=====

# Ga2PdPb2 GGA-PBEsol relaxed
data_Ga2PdPb2
_symmetry_space_group_name_H-M 'I 4/m m m'
_symmetry_Int_Tables_number 139
_symmetry_space_group_name_Hall '-I 4 2'
_cell_length_a 4.5311
_cell_length_b 4.5311
_cell_length_c 11.7213
_cell_angle_alpha 90.00
_cell_angle_beta 90.00
_cell_angle_gamma 90.00
loop_
_atom_site_label
_atom_site_fract_x
_atom_site_fract_y
_atom_site_fract_z
Ga1 0.0000 0.0000 0.0985
Pd1 0.0000 0.0000 0.5000
Pb1 0.0000 0.5000 0.2500
# **Total magnetization**: 0.00 μB/f.u.
# **Total DFT energy (no corrections)**: -36.83 eV per cell
# **Formation enthalpy at 0 K**: 0.44 eV per atom